Arrangement A

Below is a relaxed RbPmO2 crystal, with properties calculated at the PBE-GGA level.

Total magnetic moment: 0.00 μB per formula unit
Space-group type: P6_3/mmc, No. 194

a = 3.632 Å, b = 3.632 Å, c = 13.220 Å
α = 90.00°, β = 90.00°, γ = 120.00°
Positions (direct):
Rb1 0.333 0.667 0.250
Rb2 0.667 0.333 0.750
Pm1 0.000 0.000 0.000
Pm2 0.000 0.000 0.500
O1 0.333 0.667 0.590
O2 0.333 0.667 0.910
O3 0.667 0.333 0.090
O4 0.667 0.333 0.410

Arrangement B

Below is a relaxed RbPmO2 crystal, with properties calculated at the PBE-GGA level.

Total magnetic moment: 0.00 μB per formula unit
Space-group type: R3m, No. 160

a = 7.028 Å, b = 7.028 Å, c = 7.028 Å
α = 29.85°, β = 29.85°, γ = 29.85°
Positions (direct):
Rb1 0.000 0.000 0.000
Pm1 0.830 0.830 0.830
O1 0.221 0.221 0.221
O2 0.436 0.436 0.436

What should be chosen as the most stable of them? Choose arrangement A.

Arrangement A

Below is a relaxed Pm2ReO8 crystal, with properties calculated at the PBE-GGA level.

Total magnetic moment: 3.00 μB per formula unit
Space-group type: Cm, No. 8

a = 6.465 Å, b = 6.465 Å, c = 4.640 Å
α = 105.84°, β = 105.84°, γ = 114.75°
Positions (direct):
Pm1 0.188 0.812 0.000
Pm2 0.812 0.188 0.000
Re1 0.415 0.415 0.780
O1 0.069 0.647 0.421
O2 0.189 0.189 0.362
O3 0.201 0.439 0.966
O4 0.439 0.201 0.966
O5 0.496 0.730 0.804
O6 0.647 0.069 0.421
O7 0.730 0.496 0.804
O8 0.879 0.879 0.650

Arrangement B

Below is a relaxed Pm2ReO8 crystal, with properties calculated at the PBE-GGA level.

Total magnetic moment: 0.03 μB per formula unit
Space-group type: C2/m, No. 12

a = 7.558 Å, b = 7.558 Å, c = 4.847 Å
α = 104.36°, β = 104.36°, γ = 29.53°
Positions (direct):
Pm1 0.177 0.177 0.187
Pm2 0.823 0.823 0.813
Re1 0.500 0.500 0.500
O1 0.016 0.016 0.714
O2 0.240 0.240 0.780
O3 0.377 0.377 0.498
O4 0.458 0.458 0.048
O5 0.542 0.542 0.952
O6 0.623 0.623 0.502
O7 0.760 0.760 0.220
O8 0.984 0.984 0.286

What should be chosen as the most stable of them? Choose arrangement A.

Arrangement A

Below is a relaxed Pm2RhO crystal, with properties calculated at the PBE-GGA level.

Total magnetic moment: 0.00 μB per formula unit
Space-group type: P4/mmm, No. 123

a = 3.225 Å, b = 3.225 Å, c = 7.033 Å
α = 90.00°, β = 90.00°, γ = 90.00°
Positions (direct):
Pm1 0.000 0.000 0.227
Pm2 0.000 0.000 0.773
Rh1 0.500 0.500 0.500
O1 0.500 0.500 0.000

Arrangement B

Below is a relaxed Pm2RhO crystal, with properties calculated at the PBE-GGA level.

Total magnetic moment: 0.00 μB per formula unit
Space-group type: R3m, No. 160

a = 7.514 Å, b = 7.514 Å, c = 7.514 Å
α = 27.62°, β = 27.62°, γ = 27.62°
Positions (direct):
Pm1 0.000 0.000 0.000
Pm2 0.152 0.152 0.152
Rh1 0.576 0.576 0.576
O1 0.749 0.749 0.749

Arrangement C

Below is a relaxed Pm2RhO crystal, with properties calculated at the PBE-GGA level.

Total magnetic moment: 0.00 μB per formula unit
Space-group type: R-3m, No. 166

a = 7.746 Å, b = 7.746 Å, c = 7.746 Å
α = 31.72°, β = 31.72°, γ = 31.72°
Positions (direct):
Pm1 0.096 0.096 0.096
Pm2 0.904 0.904 0.904
Rh1 0.500 0.500 0.500
O1 0.000 0.000 0.000

What should be chosen as the most stable of them? Choose arrangement B.

Arrangement A

Below is a relaxed Pm3RhO crystal, with properties calculated at the PBE-GGA level.

Total magnetic moment: 0.00 μB per formula unit
Space-group type: Pm-3m, No. 221

a = 4.821 Å, b = 4.821 Å, c = 4.821 Å
α = 90.00°, β = 90.00°, γ = 90.00°
Positions (direct):
Pm1 0.000 0.000 0.500
Pm2 0.000 0.500 0.000
Pm3 0.500 0.000 0.000
Rh1 0.500 0.500 0.500
O1 0.000 0.000 0.000

Arrangement B

Below is a relaxed Pm3RhO crystal, with properties calculated at the PBE-GGA level.

Total magnetic moment: 0.00 μB per formula unit
Space-group type: C2/c, No. 15

a = 8.767 Å, b = 8.767 Å, c = 7.056 Å
α = 98.37°, β = 98.37°, γ = 86.30°
Positions (direct):
Pm1 0.024 0.213 0.132
Pm2 0.132 0.619 0.376
Pm3 0.213 0.024 0.632
Pm4 0.296 0.427 0.898
Pm5 0.381 0.868 0.124
Pm6 0.427 0.296 0.398
Pm7 0.573 0.704 0.602
Pm8 0.619 0.132 0.876
Pm9 0.704 0.573 0.102
Pm10 0.787 0.976 0.368
Pm11 0.868 0.381 0.624
Pm12 0.976 0.787 0.868
Rh1 0.086 0.914 0.250
Rh2 0.284 0.716 0.750
Rh3 0.716 0.284 0.250
Rh4 0.914 0.086 0.750
O1 0.225 0.395 0.195
O2 0.395 0.225 0.695
O3 0.605 0.775 0.305
O4 0.775 0.605 0.805

What should be chosen as the most stable of them? Choose arrangement B.

Arrangement A

Below is a relaxed Pm2RuO6 crystal, with properties calculated at the PBE-GGA level.

Total magnetic moment: 2.00 μB per formula unit
Space-group type: P2_1/c, No. 14

a = 5.460 Å, b = 6.155 Å, c = 8.794 Å
α = 90.00°, β = 122.19°, γ = 90.00°
Positions (direct):
Pm1 0.211 0.097 0.248
Pm2 0.211 0.403 0.748
Pm3 0.789 0.597 0.252
Pm4 0.789 0.903 0.752
Ru1 0.500 0.000 0.000
Ru2 0.500 0.500 0.500
O1 0.145 0.154 0.946
O2 0.145 0.346 0.446
O3 0.297 0.724 0.931
O4 0.297 0.776 0.431
O5 0.398 0.050 0.758
O6 0.398 0.450 0.258
O7 0.602 0.550 0.742
O8 0.602 0.950 0.242
O9 0.703 0.224 0.569
O10 0.703 0.276 0.069
O11 0.855 0.654 0.554
O12 0.855 0.846 0.054

Arrangement B

Below is a relaxed Pm2RuO6 crystal, with properties calculated at the PBE-GGA level.

Total magnetic moment: 2.02 μB per formula unit
Space-group type: Immm, No. 71

a = 6.428 Å, b = 6.428 Å, c = 6.428 Å
α = 145.66°, β = 129.91°, γ = 62.14°
Positions (direct):
Pm1 0.167 0.167 0.000
Pm2 0.833 0.833 0.000
Ru1 0.500 0.500 0.000
O1 0.120 0.354 0.766
O2 0.293 0.000 0.293
O3 0.412 0.646 0.766
O4 0.588 0.354 0.234
O5 0.707 0.000 0.707
O6 0.880 0.646 0.234

What should be chosen as the most stable of them? Choose arrangement A.

Arrangement A

Below is a relaxed Pm3S3O crystal, with properties calculated at the PBE-GGA level.

Total magnetic moment: 0.00 μB per formula unit
Space-group type: C2/m, No. 12

a = 7.096 Å, b = 7.096 Å, c = 6.931 Å
α = 94.74°, β = 94.74°, γ = 111.77°
Positions (direct):
Pm1 0.095 0.095 0.299
Pm2 0.172 0.475 0.786
Pm3 0.475 0.172 0.786
Pm4 0.525 0.828 0.214
Pm5 0.828 0.525 0.214
Pm6 0.905 0.905 0.701
S1 0.162 0.838 0.000
S2 0.237 0.763 0.500
S3 0.389 0.389 0.148
S4 0.611 0.611 0.852
S5 0.763 0.237 0.500
S6 0.838 0.162 0.000
O1 0.187 0.187 0.628
O2 0.813 0.813 0.372

Arrangement B

Below is a relaxed Pm3S3O crystal, with properties calculated at the PBE-GGA level.

Total magnetic moment: 0.00 μB per formula unit
Space-group type: Pnma, No. 62

a = 11.672 Å, b = 3.979 Å, c = 12.879 Å
α = 90.00°, β = 90.00°, γ = 90.00°
Positions (direct):
Pm1 0.033 0.250 0.154
Pm2 0.104 0.250 0.610
Pm3 0.243 0.250 0.869
Pm4 0.257 0.750 0.369
Pm5 0.396 0.750 0.110
Pm6 0.467 0.750 0.654
Pm7 0.533 0.250 0.346
Pm8 0.604 0.250 0.890
Pm9 0.743 0.250 0.631
Pm10 0.757 0.750 0.131
Pm11 0.896 0.750 0.390
Pm12 0.967 0.750 0.846
S1 0.071 0.250 0.388
S2 0.147 0.750 0.006
S3 0.232 0.750 0.711
S4 0.268 0.250 0.211
S5 0.353 0.250 0.506
S6 0.429 0.750 0.888
S7 0.571 0.250 0.112
S8 0.647 0.750 0.494
S9 0.732 0.750 0.789
S10 0.768 0.250 0.289
S11 0.853 0.250 0.994
S12 0.929 0.750 0.612
O1 0.052 0.250 0.800
O2 0.448 0.750 0.300
O3 0.552 0.250 0.700
O4 0.948 0.750 0.200

What should be chosen as the most stable of them? Choose arrangement B.

Arrangement A

Below is a relaxed Pm2SO crystal, with properties calculated at the PBE-GGA level.

Total magnetic moment: 0.00 μB per formula unit
Space-group type: R3m, No. 160

a = 7.012 Å, b = 7.012 Å, c = 7.012 Å
α = 30.49°, β = 30.49°, γ = 30.49°
Positions (direct):
Pm1 0.000 0.000 0.000
Pm2 0.160 0.160 0.160
S1 0.580 0.580 0.580
O1 0.410 0.410 0.410

Arrangement B

Below is a relaxed Pm2SO crystal, with properties calculated at the PBE-GGA level.

Total magnetic moment: 0.00 μB per formula unit
Space-group type: C2/m, No. 12

a = 6.541 Å, b = 6.541 Å, c = 5.448 Å
α = 114.58°, β = 114.58°, γ = 49.22°
Positions (direct):
Pm1 0.109 0.109 0.358
Pm2 0.359 0.359 0.109
Pm3 0.641 0.641 0.891
Pm4 0.891 0.891 0.642
S1 0.375 0.375 0.625
S2 0.625 0.625 0.375
O1 0.125 0.125 0.876
O2 0.875 0.875 0.124

Arrangement C

Below is a relaxed Pm2SO crystal, with properties calculated at the PBE-GGA level.

Total magnetic moment: 0.00 μB per formula unit
Space-group type: R-3m, No. 166

a = 7.806 Å, b = 7.806 Å, c = 7.806 Å
α = 30.41°, β = 30.41°, γ = 30.41°
Positions (direct):
Pm1 0.094 0.094 0.094
Pm2 0.906 0.906 0.906
S1 0.500 0.500 0.500
O1 0.000 0.000 0.000

What should be chosen as the most stable of them? Choose arrangement B.

Arrangement A

Below is a relaxed PmSO4 crystal, with properties calculated at the PBE-GGA level.

Total magnetic moment: 0.00 μB per formula unit
Space-group type: P2_1/c, No. 14

a = 6.306 Å, b = 7.357 Å, c = 9.219 Å
α = 90.00°, β = 131.03°, γ = 90.00°
Positions (direct):
Pm1 0.059 0.030 0.309
Pm2 0.059 0.470 0.809
Pm3 0.941 0.530 0.191
Pm4 0.941 0.970 0.691
S1 0.411 0.689 0.681
S2 0.411 0.811 0.181
S3 0.589 0.189 0.819
S4 0.589 0.311 0.319
O1 0.225 0.645 0.106
O2 0.225 0.855 0.606
O3 0.262 0.546 0.531
O4 0.262 0.954 0.031
O5 0.317 0.230 0.769
O6 0.317 0.270 0.269
O7 0.462 0.626 0.856
O8 0.462 0.874 0.356
O9 0.538 0.126 0.644
O10 0.538 0.374 0.144
O11 0.683 0.730 0.731
O12 0.683 0.770 0.231
O13 0.738 0.046 0.969
O14 0.738 0.454 0.469
O15 0.775 0.145 0.394
O16 0.775 0.355 0.894

Arrangement B

Below is a relaxed PmSO4 crystal, with properties calculated at the PBE-GGA level.

Total magnetic moment: 0.00 μB per formula unit
Space-group type: I4_1/amd, No. 141

a = 6.070 Å, b = 6.070 Å, c = 6.070 Å
α = 105.92°, β = 105.92°, γ = 116.84°
Positions (direct):
Pm1 0.375 0.625 0.750
Pm2 0.625 0.375 0.250
S1 0.125 0.875 0.250
S2 0.875 0.125 0.750
O1 0.128 0.708 0.421
O2 0.213 0.292 0.921
O3 0.292 0.213 0.421
O4 0.292 0.872 0.079
O5 0.708 0.128 0.921
O6 0.708 0.787 0.579
O7 0.787 0.708 0.079
O8 0.872 0.292 0.579

What should be chosen as the most stable of them? Choose arrangement A.

Arrangement A

Below is a relaxed PmSbO crystal, with properties calculated at the PBE-GGA level.

Total magnetic moment: 0.00 μB per formula unit
Space-group type: P-3m1, No. 164

a = 3.953 Å, b = 3.953 Å, c = 10.181 Å
α = 90.00°, β = 90.00°, γ = 120.00°
Positions (direct):
Pm1 0.333 0.667 0.354
Pm2 0.667 0.333 0.646
Sb1 0.333 0.667 0.909
Sb2 0.667 0.333 0.091
O1 0.333 0.667 0.586
O2 0.667 0.333 0.414

Arrangement B

Below is a relaxed PmSbO crystal, with properties calculated at the PBE-GGA level.

Total magnetic moment: 0.00 μB per formula unit
Space-group type: P-6m2, No. 187

a = 3.804 Å, b = 3.804 Å, c = 6.019 Å
α = 90.00°, β = 90.00°, γ = 120.00°
Positions (direct):
Pm1 0.000 0.000 0.000
Sb1 0.333 0.667 0.500
O1 0.667 0.333 0.000

Arrangement C

Below is a relaxed PmSbO crystal, with properties calculated at the PBE-GGA level.

Total magnetic moment: 0.00 μB per formula unit
Space-group type: Pnma, No. 62

a = 6.825 Å, b = 4.257 Å, c = 16.352 Å
α = 90.00°, β = 90.00°, γ = 90.00°
Positions (direct):
Pm1 0.029 0.250 0.175
Pm2 0.471 0.750 0.675
Pm3 0.529 0.250 0.325
Pm4 0.971 0.750 0.825
Sb1 0.140 0.750 0.021
Sb2 0.360 0.250 0.521
Sb3 0.640 0.750 0.479
Sb4 0.860 0.250 0.979
O1 0.214 0.750 0.747
O2 0.286 0.250 0.247
O3 0.714 0.750 0.753
O4 0.786 0.250 0.253

What should be chosen as the most stable of them? Choose arrangement A.